1.
Entry from Alexandria via LeMat-Bulk: crystalline Na2TmVO4 at its relaxed geometry (GGA+U).

```
data_Na2TmVO4
_chemical_formula_sum 'Na2 Tm1 V1 O4'
_space_group_name_H-M_alt 'P 1 2/m 1'
_space_group_IT_number 10
_space_group_name_Hall '-P 2y'
_cell_length_a 5.5383
_cell_length_b 3.2438
_cell_length_c 5.8066
_cell_angle_alpha 90.00
_cell_angle_beta 108.67
_cell_angle_gamma 90.00
loop_
_atom_site_label
_atom_site_fract_x
_atom_site_fract_y
_atom_site_fract_z
Na1 0.0000 0.0000 0.0000
Na2 0.5000 0.5000 0.0000
Tm1 0.0000 0.5000 0.5000
V1 0.5000 0.0000 0.5000
O1 0.2517 0.0000 0.7068
O2 0.2796 0.5000 0.2957
```

Crystal system: monoclinic
Raw total energy: -6.682 eV/atom



2.
Entry from Alexandria via LeMat-Bulk: crystalline TiNbVO6 at its relaxed geometry (GGA+U).

```
data_TiNbVO6
_chemical_formula_sum 'Ti2 Nb2 V2 O12'
_space_group_name_H-M_alt 'P -3 1 c'
_space_group_IT_number 163
_space_group_name_Hall '-P 3 2c'
_cell_length_a 5.0740
_cell_length_b 5.0740
_cell_length_c 8.8994
_cell_angle_alpha 90.00
_cell_angle_beta 90.00
_cell_angle_gamma 120.00
loop_
_atom_site_label
_atom_site_fract_x
_atom_site_fract_y
_atom_site_fract_z
Ti1 0.0000 0.0000 0.0000
Nb1 0.3333 0.6667 0.2500
V1 0.3333 0.6667 0.7500
O1 0.0039 0.3273 0.1270
```

Crystal system: trigonal
Raw total energy: -8.621 eV/atom